Here is a relaxed CoCOF2 crystal from Alexandria. Energies are from PBE with a Hubbard U.

Properties
**E_tot**: -22.03 eV per cell
**Calculated density**: 3.99 g/cm³
**Total moment**: 2.51 μB per formula unit
**Crystal system**: tetragonal

Cell lengths 4.237, 4.237, 2.897 Å; angles 90.00, 90.00, 90.00 degrees
Atoms (fractional coordinates):
1 C 0.000 0.000 0.000
2 Co 0.500 0.500 0.500
3 O 0.000 0.000 0.500
4 F 0.000 0.500 0.000
5 F 0.500 0.000 0.000